Entry from Alexandria via LeMat-Bulk: a geometry-optimized RbMnCu2Cl8 structure (GGA-PBE).

## Properties
E_tot   -3.657 eV/atom
ΔE_f (raw)   -0.899 eV/atom
Crystal system   triclinic
Space-group type   P-1 (2)
Volume   27.90 A^3/atom

Lattice parameters (Å, degrees): 6.073 6.938 8.358 73.64 82.36 87.75
Fractional positions:
Rb1 0.000 0.000 0.000
Mn1 0.000 0.500 0.500
Cu1 0.499 0.515 0.811
Cu2 0.501 0.485 0.189
Cl1 0.124 0.493 0.755
Cl2 0.178 0.791 0.374
Cl3 0.312 0.318 0.434
Cl4 0.489 0.248 0.038
Cl5 0.511 0.752 0.962
Cl6 0.688 0.682 0.566
Cl7 0.822 0.209 0.626
Cl8 0.876 0.507 0.245